(1)
## Rb2Sc2I7 (GGA-PBE)

Data for crystalline Rb2Sc2I7 at its relaxed geometry.

Cell and atoms, written as extended XYZ:
```
11
Lattice="-3.152 1.377 -7.390 -5.447 -7.539 1.915 -2.013 8.611 3.460" Properties=species:S:1:pos:R:3 pbc="T T T"
Rb -4.643 4.340 -0.709
Rb -5.968 -1.891 -1.305
Sc -4.957 1.539 -5.073
Sc -5.654 0.910 3.059
I -7.038 -1.379 2.143
I -4.651 -1.238 -4.642
I -3.574 3.828 -4.158
I -5.961 3.687 2.627
I 0.000 0.000 0.000
I -6.628 1.659 -2.607
I -3.984 0.790 0.592
```

Space group = C2/m (12)
VASP energy = -3.533 eV/atom
Energy relative to the elements, uncorrected = -1295 kJ/mol of formula units
Calculated volume = 613.59 Å³ per cell

---

(2)
## La2Cu (GGA-PBE)

Data for crystalline La2Cu at its relaxed geometry.

Cell and atoms, written as extended XYZ:
```
6
Lattice="6.429 0.000 0.000 3.215 5.171 0.000 -3.215 0.000 5.171" Properties=species:S:1:pos:R:3 pbc="T T T"
Cu 1.607 0.000 0.000
Cu 4.822 0.000 0.000
La 3.215 2.586 4.375
La 3.215 2.586 0.796
La 6.429 4.375 2.586
La 0.000 0.796 2.586
```

Space group = I4/mcm (140)
VASP energy = -4.722 eV/atom
ΔE_f = -72 meV/atom
Calculated volume = 171.92 Å³ per cell

---

(3)
## Mg2CdW (GGA-PBE)

Data for crystalline Mg2CdW at its relaxed geometry.

Cell and atoms, written as extended XYZ:
```
4
Lattice="10.184 0.013 0.008 9.746 2.957 0.008 9.746 1.452 2.576" Properties=species:S:1:pos:R:3 pbc="T T T"
Cd 22.256 3.317 1.943
Mg 29.493 4.396 2.575
Mg 15.020 2.238 1.312
W 7.419 1.106 0.648
```

Space group = R-3m (166)
VASP energy = -3.955 eV/atom
ΔE_f = 309 meV/atom
Calculated volume = 77.03 Å³ per cell